Run P
AgPCl2: optimized geometry, PBE.

Values from the calculation:
Crystal system = monoclinic
SG = Cm, No. 8

The structure in POSCAR format:
```
AgPCl2
1.0
4.046 -1.742 0.000
4.046 1.742 0.000
-0.536 0.000 7.714
Ag P Cl
1 1 2
Direct
0.000 0.000 0.000
0.337 0.337 0.842
0.419 0.419 0.599
0.638 0.638 0.192
```

Run Q
AgPCl2: optimized geometry, PBE.

Values from the calculation:
Density of states at the Fermi level = 0.8 states/eV/cell
Crystal system = trigonal
SG = R-3m, No. 166

The structure in POSCAR format:
```
AgPCl2
1.0
1.735 1.002 8.397
-1.735 1.002 8.397
0.000 -2.003 8.397
Ag P Cl
1 1 2
Direct
0.000 0.000 0.000
0.500 0.500 0.500
0.407 0.407 0.407
0.593 0.593 0.593
```

Run R
AgPCl2: optimized geometry, PBE.

Values from the calculation:
Density of states at the Fermi level = 1.6 states/eV/cell
Crystal system = orthorhombic
SG = Pmmm, No. 47

The structure in POSCAR format:
```
AgPCl2
1.0
3.285 0.000 0.000
0.000 4.065 0.000
0.000 0.000 6.924
Ag P Cl
1 1 2
Direct
0.000 0.000 0.000
0.500 0.000 0.500
0.000 0.500 0.500
0.500 0.500 0.000
```

run P (28.2 kJ/mol of atoms below the next structure)

Run P
AgPCl2: optimized geometry, PBE.

Values from the calculation:
Density of states at the Fermi level = 2.3 states/eV/cell
Crystal system = cubic
SG = F-43m, No. 216

The structure in POSCAR format:
```
AgPCl2
1.0
0.000 3.372 3.372
3.372 0.000 3.372
3.372 3.372 0.000
Ag P Cl
1 1 2
Direct
0.000 0.000 0.000
0.250 0.250 0.250
0.500 0.500 0.500
0.750 0.750 0.750
```

Run Q
AgPCl2: optimized geometry, PBE.

Values from the calculation:
Density of states at the Fermi level = 2.3 states/eV/cell
Crystal system = tetragonal
SG = I-4m2, No. 119

The structure in POSCAR format:
```
AgPCl2
1.0
-1.862 1.862 7.188
1.862 -1.862 7.188
1.862 1.862 -7.188
Ag P Cl
1 1 2
Direct
0.000 0.000 0.000
0.750 0.250 0.500
0.250 0.750 0.500
0.500 0.500 0.000
```

Run R
AgPCl2: optimized geometry, PBE.

Values from the calculation:
Density of states at the Fermi level = 1.5 states/eV/cell
Crystal system = monoclinic
SG = P2/m, No. 10

The structure in POSCAR format:
```
AgPCl2
1.0
3.215 0.000 0.000
0.000 3.988 0.000
-1.559 0.000 6.617
Ag P Cl
1 1 2
Direct
0.000 0.000 0.000
0.000 0.000 0.500
0.110 0.500 0.742
0.890 0.500 0.258
```

Run S
AgPCl2: optimized geometry, PBE.

Values from the calculation:
Density of states at the Fermi level = 1.9 states/eV/cell
Crystal system = monoclinic
SG = Pm, No. 6

The structure in POSCAR format:
```
AgPCl2
1.0
5.054 0.000 0.000
0.000 4.902 0.000
-2.049 0.000 5.334
Ag P Cl
1 1 2
Direct
0.000 0.000 0.000
0.021 0.500 0.068
0.200 0.500 0.450
0.501 0.000 0.007
```

run S (21.3 kJ/mol of atoms below the next structure)

Run P
AgP3Cl: optimized geometry, PBE.

Values from the calculation:
Density of states at the Fermi level = 3.9 states/eV/cell
Crystal system = cubic
SG = Pm-3m, No. 221

The structure in POSCAR format:
```
AgP3Cl
1.0
4.910 0.000 0.000
0.000 4.910 0.000
0.000 0.000 4.910
Ag P Cl
1 3 1
Direct
0.000 0.000 0.000
0.000 0.000 0.500
0.000 0.500 0.000
0.500 0.000 0.000
0.500 0.500 0.500
```

Run Q
AgP3Cl: optimized geometry, PBE.

Values from the calculation:
Density of states at the Fermi level = 4.5 states/eV/cell
Crystal system = cubic
SG = Pm-3m, No. 221

The structure in POSCAR format:
```
AgP3Cl
1.0
4.636 0.000 0.000
0.000 4.636 0.000
0.000 0.000 4.636
Ag P Cl
1 3 1
Direct
0.000 0.000 0.000
0.000 0.500 0.500
0.500 0.000 0.500
0.500 0.500 0.000
0.500 0.500 0.500
```

run P (9.3 kJ/mol of atoms below the next structure)

Run P
AgPCl3: optimized geometry, PBE.

Values from the calculation:
Density of states at the Fermi level = 1.7 states/eV/cell
Crystal system = cubic
SG = Pm-3m, No. 221

The structure in POSCAR format:
```
AgPCl3
1.0
4.884 0.000 0.000
0.000 4.884 0.000
0.000 0.000 4.884
Ag P Cl
1 1 3
Direct
0.000 0.000 0.000
0.500 0.500 0.500
0.000 0.500 0.500
0.500 0.000 0.500
0.500 0.500 0.000
```

Run Q
AgPCl3: optimized geometry, PBE.

Values from the calculation:
Density of states at the Fermi level = 5.9 states/eV/cell
Crystal system = cubic
SG = Pm-3m, No. 221

The structure in POSCAR format:
```
AgPCl3
1.0
5.030 0.000 0.000
0.000 5.030 0.000
0.000 0.000 5.030
Ag P Cl
1 1 3
Direct
0.000 0.000 0.000
0.500 0.500 0.500
0.000 0.000 0.500
0.000 0.500 0.000
0.500 0.000 0.000
```

run P (45.1 kJ/mol of atoms below the next structure)

Run P
AgP2PbCl: optimized geometry, PBE.

Values from the calculation:
Density of states at the Fermi level = 3.2 states/eV/cell
Crystal system = tetragonal
SG = P4/mmm, No. 123

The structure in POSCAR format:
```
AgP2PbCl
1.0
4.748 0.000 0.000
0.000 4.748 0.000
0.000 0.000 5.609
Ag P Pb Cl
1 2 1 1
Direct
0.000 0.000 0.000
0.000 0.500 0.000
0.500 0.000 0.000
0.500 0.500 0.500
0.000 0.000 0.500
```

Run Q
AgP2PbCl: optimized geometry, PBE.

Values from the calculation:
Density of states at the Fermi level = 3.0 states/eV/cell
Crystal system = tetragonal
SG = P4/mmm, No. 123

The structure in POSCAR format:
```
AgP2PbCl
1.0
5.445 0.000 0.000
0.000 5.445 0.000
0.000 0.000 5.465
Ag P Pb Cl
1 2 1 1
Direct
0.000 0.000 0.000
0.000 0.500 0.500
0.500 0.000 0.500
0.500 0.500 0.500
0.500 0.500 0.000
```

run P (37.7 kJ/mol of atoms below the next structure)

Run P
AgP2PdCl: optimized geometry, PBE.

Values from the calculation:
Density of states at the Fermi level = 1.7 states/eV/cell
Crystal system = tetragonal
SG = P4/mmm, No. 123

The structure in POSCAR format:
```
AgP2PdCl
1.0
4.426 0.000 0.000
0.000 4.426 0.000
0.000 0.000 6.729
Ag P Pd Cl
1 2 1 1
Direct
0.000 0.000 0.000
0.000 0.500 0.500
0.500 0.000 0.500
0.500 0.500 0.500
0.500 0.500 0.000
```

Run Q
AgP2PdCl: optimized geometry, PBE.

Values from the calculation:
Density of states at the Fermi level = 3.9 states/eV/cell
Crystal system = tetragonal
SG = P4/mmm, No. 123

The structure in POSCAR format:
```
AgP2PdCl
1.0
4.770 0.000 0.000
0.000 4.770 0.000
0.000 0.000 4.987
Ag P Pd Cl
1 2 1 1
Direct
0.000 0.000 0.000
0.000 0.500 0.000
0.500 0.000 0.000
0.500 0.500 0.500
0.000 0.000 0.500
```

run P (49.9 kJ/mol of atoms below the next structure)

Run P
AgP2PtCl: optimized geometry, PBE.

Values from the calculation:
Density of states at the Fermi level = 1.4 states/eV/cell
Crystal system = tetragonal
SG = P4/mmm, No. 123

The structure in POSCAR format:
```
AgP2PtCl
1.0
4.422 0.000 0.000
0.000 4.422 0.000
0.000 0.000 7.517
Ag P Pt Cl
1 2 1 1
Direct
0.000 0.000 0.000
0.000 0.500 0.500
0.500 0.000 0.500
0.500 0.500 0.500
0.500 0.500 0.000
```

Run Q
AgP2PtCl: optimized geometry, PBE.

Values from the calculation:
Density of states at the Fermi level = 3.9 states/eV/cell
Crystal system = tetragonal
SG = P4/mmm, No. 123

The structure in POSCAR format:
```
AgP2PtCl
1.0
4.817 0.000 0.000
0.000 4.817 0.000
0.000 0.000 4.709
Ag P Pt Cl
1 2 1 1
Direct
0.000 0.000 0.000
0.000 0.500 0.000
0.500 0.000 0.000
0.500 0.500 0.500
0.000 0.000 0.500
```

run P (74.8 kJ/mol of atoms below the next structure)

Run P
AgPPtCl2: optimized geometry, PBE.

Values from the calculation:
Density of states at the Fermi level = 3.7 states/eV/cell
Crystal system = tetragonal
SG = P4/mmm, No. 123

The structure in POSCAR format:
```
AgPPtCl2
1.0
4.705 0.000 0.000
0.000 4.705 0.000
0.000 0.000 5.278
Ag P Pt Cl
1 1 1 2
Direct
0.000 0.000 0.000
0.000 0.000 0.500
0.500 0.500 0.500
0.000 0.500 0.000
0.500 0.000 0.000
```

Run Q
AgPPtCl2: optimized geometry, PBE.

Values from the calculation:
Density of states at the Fermi level = 3.4 states/eV/cell
Crystal system = tetragonal
SG = P4/mmm, No. 123

The structure in POSCAR format:
```
AgPPtCl2
1.0
5.174 0.000 0.000
0.000 5.174 0.000
0.000 0.000 4.474
Ag P Pt Cl
1 1 1 2
Direct
0.000 0.000 0.000
0.500 0.500 0.000
0.500 0.500 0.500
0.000 0.500 0.500
0.500 0.000 0.500
```

run Q (71.0 kJ/mol of atoms below the next structure)

Run P
ReAgP2Cl: optimized geometry, PBE.

Values from the calculation:
Density of states at the Fermi level = 2.6 states/eV/cell
Crystal system = tetragonal
SG = P4/mmm, No. 123

The structure in POSCAR format:
```
ReAgP2Cl
1.0
4.826 0.000 0.000
0.000 4.826 0.000
0.000 0.000 4.794
Re Ag P Cl
1 1 2 1
Direct
0.000 0.000 0.000
0.500 0.500 0.500
0.000 0.500 0.500
0.500 0.000 0.500
0.500 0.500 0.000
```

Run Q
ReAgP2Cl: optimized geometry, PBE.

Values from the calculation:
Density of states at the Fermi level = 2.6 states/eV/cell
Crystal system = tetragonal
SG = P4/mmm, No. 123

The structure in POSCAR format:
```
ReAgP2Cl
1.0
4.540 0.000 0.000
0.000 4.540 0.000
0.000 0.000 5.333
Re Ag P Cl
1 1 2 1
Direct
0.000 0.000 0.000
0.500 0.500 0.500
0.000 0.500 0.000
0.500 0.000 0.000
0.000 0.000 0.500
```

run Q (119.0 kJ/mol of atoms below the next structure)

Run P
ReAgPCl2: optimized geometry, PBE.

Values from the calculation:
Density of states at the Fermi level = 3.1 states/eV/cell
Crystal system = tetragonal
SG = P4/mmm, No. 123

The structure in POSCAR format:
```
ReAgPCl2
1.0
4.799 0.000 0.000
0.000 4.799 0.000
0.000 0.000 5.261
Re Ag P Cl
1 1 1 2
Direct
0.000 0.000 0.000
0.500 0.500 0.500
0.500 0.500 0.000
0.000 0.500 0.500
0.500 0.000 0.500
```

Run Q
ReAgPCl2: optimized geometry, PBE.

Values from the calculation:
Density of states at the Fermi level = 3.0 states/eV/cell
Crystal system = tetragonal
SG = P4/mmm, No. 123

The structure in POSCAR format:
```
ReAgPCl2
1.0
4.955 0.000 0.000
0.000 4.955 0.000
0.000 0.000 4.587
Re Ag P Cl
1 1 1 2
Direct
0.000 0.000 0.000
0.500 0.500 0.500
0.000 0.000 0.500
0.000 0.500 0.000
0.500 0.000 0.000
```

run Q (87.6 kJ/mol of atoms below the next structure)

Run P
AgPRhCl2: optimized geometry, PBE.

Values from the calculation:
Density of states at the Fermi level = 1.5 states/eV/cell
Crystal system = tetragonal
SG = P4/mmm, No. 123

The structure in POSCAR format:
```
AgPRhCl2
1.0
5.072 0.000 0.000
0.000 5.072 0.000
0.000 0.000 4.390
Ag P Rh Cl
1 1 1 2
Direct
0.000 0.000 0.000
0.500 0.500 0.000
0.500 0.500 0.500
0.000 0.500 0.500
0.500 0.000 0.500
```

Run Q
AgPRhCl2: optimized geometry, PBE.

Values from the calculation:
Density of states at the Fermi level = 9.6 states/eV/cell
Crystal system = tetragonal
SG = P4/mmm, No. 123

The structure in POSCAR format:
```
AgPRhCl2
1.0
4.929 0.000 0.000
0.000 4.929 0.000
0.000 0.000 4.921
Ag P Rh Cl
1 1 1 2
Direct
0.000 0.000 0.000
0.000 0.000 0.500
0.500 0.500 0.500
0.000 0.500 0.000
0.500 0.000 0.000
```

run P (81.0 kJ/mol of atoms below the next structure)

Run P
AgPSCl2: optimized geometry, PBE.

Values from the calculation:
Density of states at the Fermi level = 1.3 states/eV/cell
Crystal system = tetragonal
SG = P4/mmm, No. 123

The structure in POSCAR format:
```
AgPSCl2
1.0
4.944 0.000 0.000
0.000 4.944 0.000
0.000 0.000 4.465
Ag P S Cl
1 1 1 2
Direct
0.000 0.000 0.000
0.500 0.500 0.500
0.500 0.500 0.000
0.000 0.500 0.500
0.500 0.000 0.500
```

Run Q
AgPSCl2: optimized geometry, PBE.

Values from the calculation:
Density of states at the Fermi level = 4.2 states/eV/cell
Crystal system = tetragonal
SG = P4/mmm, No. 123

The structure in POSCAR format:
```
AgPSCl2
1.0
5.625 0.000 0.000
0.000 5.625 0.000
0.000 0.000 4.106
Ag P S Cl
1 1 1 2
Direct
0.000 0.000 0.000
0.500 0.500 0.000
0.500 0.500 0.500
0.000 0.500 0.500
0.500 0.000 0.500
```

run P (44.8 kJ/mol of atoms below the next structure)